Here is a crystal of YMn2Cu relaxed with PBEsol from Alexandria via LeMat-Bulk. Energies are from SCAN.

Structure (POSCAR):
```
YMn2Cu
1.0
5.019 -1.628 0.000
5.019 1.628 0.000
-1.999 0.000 4.019
Y Mn Cu
1 2 1
direct
0.000 0.000 0.000
0.225 0.225 0.725
0.775 0.775 0.275
0.500 0.500 0.500
```

Output
* energy of formation: 0.0353 eV per atom
* SG: C2/m